Material: Ac2MnPtO5
Method: DFT, PBE+U
State: optimized geometry

Structure (POSCAR):
```
Ac2MnPtO5
1.0
5.798 0.000 0.000
0.000 7.138 0.000
0.000 0.000 7.138
Pt Ac O Mn
2 4 10 2
direct
0.000 0.000 0.500
0.000 0.500 0.000
0.500 0.827 0.673
0.500 0.173 0.327
0.500 0.327 0.827
0.500 0.673 0.173
0.500 0.500 0.500
0.763 0.855 0.355
0.237 0.145 0.645
0.763 0.645 0.855
0.237 0.855 0.355
0.763 0.145 0.645
0.237 0.645 0.855
0.763 0.355 0.145
0.237 0.355 0.145
0.500 0.000 0.000
0.000 0.500 0.500
0.000 0.000 0.000
```

Crystal system   tetragonal
Density of states at the Fermi level   0.03 states/eV/f.u.
Symmetry   No. 127
Electronic total energy   -128.450 eV for the cell shown